Computed, not measured: a relaxed structure of K2LiIr at the PBE level of DFT.

Structure (POSCAR):
```
K2LiIr
1.0
2.861 0.000 0.000
0.000 4.287 0.000
0.000 0.000 9.612
K Li Ir
2 1 1
Direct
0.000 0.000 0.000
0.500 0.500 0.436
0.000 0.000 0.696
0.500 0.500 0.761
```

Calculated values
Total magnetic moment in μB/f.u.: 0.00
E in eV per atom: -2.812